Record 1
DFT (GGA-PBE) results for crystalline Tb7Nd2Ho3 at its relaxed geometry.

The space group is Cmmm (No. 65) and the conventional cell measures 5.710, 37.895 and 3.616 Å, with angles of 90.00, 90.00 and 90.00 degrees. The distinct sites, in fractional coordinates, are Tb at (0.000, 0.000, 0.000), Tb at (0.000, 0.071, 0.500), Tb at (0.000, 0.231, 0.000), Tb at (0.000, 0.410, 0.000), Nd at (0.000, 0.148, 0.000), Ho at (0.000, 0.314, 0.500) and Ho at (0.000, 0.500, 0.500).

The energy above the most stable polymorph in this dataset comes out at 38 meV/atom. Its uncorrected energy is -4.528 eV per atom. Its formation energy is 1.346 eV per formula unit.

---

Record 2
DFT (GGA-PBE) results for crystalline Zr2NpPaP4 at its relaxed geometry.

The space group is P2/m (No. 10) and the conventional cell measures 6.635, 3.856 and 6.689 Å, with angles of 90.00, 109.56 and 90.00 degrees. The distinct sites, in fractional coordinates, are Zr at (0.000, 0.000, 0.000), Zr at (0.000, 0.500, 0.500), Np at (0.500, 0.000, 0.500), Pa at (0.500, 0.500, 0.000), P at (0.237, 0.000, 0.745) and P at (0.239, 0.500, 0.247).

Its uncorrected energy is -8.921 eV per atom. Its formation energy is -10.196 eV per formula unit.

---

- The lowest uncorrected energy belongs to which entry?
  Zr2NpPaP4

---

- uncorrected energy of number 2 (Zr2NpPaP4)?
  -8.921 eV per atom

---

- The highest uncorrected energy belongs to which entry?
  Tb7Nd2Ho3

---

Copy entry 2 word for word.
DFT (GGA-PBE) results for crystalline Zr2NpPaP4 at its relaxed geometry.

The space group is P2/m (No. 10) and the conventional cell measures 6.635, 3.856 and 6.689 Å, with angles of 90.00, 109.56 and 90.00 degrees. The distinct sites, in fractional coordinates, are Zr at (0.000, 0.000, 0.000), Zr at (0.000, 0.500, 0.500), Np at (0.500, 0.000, 0.500), Pa at (0.500, 0.500, 0.000), P at (0.237, 0.000, 0.745) and P at (0.239, 0.500, 0.247).

Its uncorrected energy is -8.921 eV per atom. Its formation energy is -10.196 eV per formula unit.